DFT (GGA-PBEsol) results for an optimized crystal structure of La3BePd.

The density comes out at 5.244 g cm⁻³. As for the calculated total energy: -4.84 eV/atom. The density of states at the Fermi level is 8.97 states/eV per cell.

The structure belongs to space group Pm-3m (No. 221); the cell edges are 5.524, 5.524 and 5.524 Å and the angles 90.00°, 90.00° and 90.00°. The inequivalent atoms are La at (0.000, 0.000, 0.500), Be at (0.500, 0.500, 0.500) and Pd at (0.000, 0.000, 0.000).



DFT (GGA-PBEsol) results for an optimized crystal structure of AlOsW2.

The density comes out at 16.245 g cm⁻³. As for the calculated total energy: -10.87 eV/atom. The density of states at the Fermi level is 4.47 states/eV per cell.

The structure belongs to space group Cm (No. 8); the cell edges are 8.971, 2.784 and 4.833 Å and the angles 90.00°, 97.81° and 90.00°. The inequivalent atoms are Al at (0.000, 0.000, 0.000), Os at (0.255, 0.000, 0.751), W at (0.010, 0.500, 0.510) and W at (0.253, 0.500, 0.240).



DFT (GGA-PBEsol) results for an optimized crystal structure of Dy6MnSi2S14.

The density comes out at 5.596 g cm⁻³. The value obtained for the uncorrected formation energy is -1.646 eV per atom.

The structure belongs to space group P3 (No. 143); the cell edges are 9.7252, 9.7252 and 5.5607 Å and the angles 90.00°, 90.00° and 120.00°. The inequivalent atoms are Dy at (0.0244, 0.5625, 0.0000), Dy at (0.3095, 0.1050, 0.4955), Mn at (0.6667, 0.3333, 0.7662), Si at (0.0000, 0.0000, 0.9092), Si at (0.3333, 0.6667, 0.4159), S at (0.0000, 0.0000, 0.2862), S at (0.0832, 0.8527, 0.7588), S at (0.1859, 0.4365, 0.2641), S at (0.3333, 0.6667, 0.7924), S at (0.4161, 0.1727, 0.0118) and S at (0.5082, 0.4253, 0.5275).



DFT (GGA-PBEsol) results for an optimized crystal structure of KOs4Cl.

The density comes out at 13.250 g cm⁻³. The value obtained for the uncorrected formation energy is 1.549 eV per atom. The density of states at the Fermi level is 39.53 states/eV per cell.

The structure belongs to space group F-43m (No. 216); the cell edges are 7.482, 7.482 and 7.482 Å and the angles 90.00°, 90.00° and 90.00°. The inequivalent atoms are K at (0.000, 0.000, 0.000), Os at (0.125, 0.125, 0.625) and Cl at (0.250, 0.250, 0.250).



DFT (GGA-PBEsol) results for an optimized crystal structure of BaCrCo2.

The density comes out at 7.446 g cm⁻³. The energy above the lowest structure with this stoichiometry comes out at 0.0036 eV per atom. The density of states at the Fermi level is 5.04 states/eV per cell.

The structure belongs to space group P2/m (No. 10); the cell edges are 4.562, 3.142 and 5.143 Å and the angles 90.00°, 111.68° and 90.00°. The inequivalent atoms are Ba at (0.000, 0.000, 0.000), Cr at (0.000, 0.500, 0.500), Co at (0.500, 0.000, 0.500) and Co at (0.500, 0.500, 0.000).



DFT (GGA-PBEsol) results for an optimized crystal structure of NiW2Au.

The density comes out at 17.765 g cm⁻³. The energy above the lowest structure with this stoichiometry comes out at 0.0000 eV per atom. The density of states at the Fermi level is 3.65 states/eV per cell.

The structure belongs to space group Pmmm (No. 47); the cell edges are 2.682, 4.030 and 5.391 Å and the angles 90.00°, 90.00° and 90.00°. The inequivalent atoms are Ni at (0.000, 0.000, 0.000), W at (0.500, 0.500, 0.232) and Au at (0.000, 0.000, 0.500).



DFT (GGA-PBEsol) results for an optimized crystal structure of Li3GeN.

The density comes out at 2.943 g cm⁻³. The value obtained for the uncorrected formation energy is -0.073 eV per atom. The density of states at the Fermi level is 2.32 states/eV per cell.

The structure belongs to space group Pm-3m (No. 221); the cell edges are 3.929, 3.929 and 3.929 Å and the angles 90.00°, 90.00° and 90.00°. The inequivalent atoms are Li at (0.000, 0.000, 0.500), Ge at (0.500, 0.500, 0.500) and N at (0.000, 0.000, 0.000).



DFT (GGA-PBEsol) results for an optimized crystal structure of NbTlRu3.

The density comes out at 9.734 g cm⁻³. As for the calculated total energy: -7.20 eV/atom. The density of states at the Fermi level is 8.10 states/eV per cell.

The structure belongs to space group Pm-3m (No. 221); the cell edges are 4.679, 4.679 and 4.679 Å and the angles 90.00°, 90.00° and 90.00°. The inequivalent atoms are Nb at (0.000, 0.000, 0.000), Tl at (0.500, 0.500, 0.500) and Ru at (0.000, 0.000, 0.500).



DFT (GGA-PBEsol) results for an optimized crystal structure of KLiSc.

The density comes out at 1.597 g cm⁻³. The energy above the lowest structure with this stoichiometry comes out at 0.0000 eV per atom. The density of states at the Fermi level is 8.56 states/eV per cell.

The structure belongs to space group I4mm (No. 107); the cell edges are 3.343, 3.343 and 16.930 Å and the angles 90.00°, 90.00° and 90.00°. The inequivalent atoms are K at (0.000, 0.000, 0.000), Li at (0.000, 0.000, 0.682) and Sc at (0.000, 0.000, 0.307).



DFT (GGA-PBEsol) results for an optimized crystal structure of BaC2S2N2.

The density comes out at 2.824 g cm⁻³. The value obtained for the uncorrected formation energy is -0.464 eV per atom. The density of states at the Fermi level is 0.00 states/eV per cell.

The structure belongs to space group C2/c (No. 15); the cell edges are 10.466, 6.721 and 8.476 Å and the angles 90.00°, 90.81° and 90.00°. The inequivalent atoms are Ba at (0.000, 0.101, 0.250), C at (0.123, 0.363, 0.607), S at (0.205, 0.452, 0.178) and N at (0.064, 0.225, 0.557).



DFT (GGA-PBEsol) results for an optimized crystal structure of MgBeSi2.

The density comes out at 2.627 g cm⁻³. The energy above the lowest structure with this stoichiometry comes out at 0.0427 eV per atom. The value obtained for the uncorrected formation energy is 0.299 eV per atom. The density of states at the Fermi level is 2.92 states/eV per cell.

The structure belongs to space group Immm (No. 71); the cell edges are 3.591, 4.069 and 7.743 Å and the angles 90.00°, 90.00° and 90.00°. The inequivalent atoms are Mg at (0.000, 0.000, 0.000), Be at (0.000, 0.000, 0.500) and Si at (0.000, 0.500, 0.238).



DFT (GGA-PBEsol) results for an optimized crystal structure of Rb3Al.

The density comes out at 2.366 g cm⁻³. As for the calculated total energy: -1.43 eV/atom. The density of states at the Fermi level is 10.19 states/eV per cell.

The structure belongs to space group I4/mmm (No. 139); the cell edges are 6.486, 6.486 and 9.456 Å and the angles 90.00°, 90.00° and 90.00°. The inequivalent atoms are Rb at (0.000, 0.000, 0.000), Rb at (0.000, 0.500, 0.250) and Al at (0.000, 0.000, 0.500).



DFT (GGA-PBEsol) results for an optimized crystal structure of Ta2ZnOsAu.

The density comes out at 14.710 g cm⁻³. As for the calculated total energy: -7.14 eV/atom. The density of states at the Fermi level is 2.90 states/eV per cell.

The structure belongs to space group P4/mmm (No. 123); the cell edges are 4.554, 4.554 and 4.434 Å and the angles 90.00°, 90.00° and 90.00°. The inequivalent atoms are Ta at (0.000, 0.500, 0.000), Zn at (0.000, 0.000, 0.000), Os at (0.000, 0.000, 0.500) and Au at (0.500, 0.500, 0.500).



DFT (GGA-PBEsol) results for an optimized crystal structure of BaLa2Cd.

The density comes out at 6.565 g cm⁻³. The energy above the lowest structure with this stoichiometry comes out at 0.1158 eV per atom. The density of states at the Fermi level is 5.52 states/eV per cell.

The structure belongs to space group P4/mmm (No. 123); the cell edges are 5.099, 5.099 and 5.132 Å and the angles 90.00°, 90.00° and 90.00°. The inequivalent atoms are Ba at (0.000, 0.000, 0.000), La at (0.000, 0.500, 0.500) and Cd at (0.500, 0.500, 0.000).



DFT (GGA-PBEsol) results for an optimized crystal structure of Hf2Co3Si4.

The density comes out at 9.248 g cm⁻³. The value obtained for the uncorrected formation energy is -0.870 eV per atom. The density of states at the Fermi level is 19.85 states/eV per cell.

The structure belongs to space group Pbcn (No. 60); the cell edges are 6.675, 5.138 and 13.532 Å and the angles 90.00°, 90.00° and 90.00°. The inequivalent atoms are Hf at (0.101, 0.230, 0.146), Co at (0.000, 0.276, 0.750), Co at (0.224, 0.006, 0.482), Si at (0.019, 0.284, 0.569) and Si at (0.246, 0.021, 0.813).



DFT (GGA-PBEsol) results for an optimized crystal structure of Na6V2B4SO16.

The density comes out at 2.834 g cm⁻³. The value obtained for the uncorrected formation energy is -2.165 eV per atom. The density of states at the Fermi level is 62.49 states/eV per cell.

The structure belongs to space group Fd-3 (No. 203, origin choice 2); the cell edges are 13.885, 13.885 and 13.885 Å and the angles 90.00°, 90.00° and 90.00°. The inequivalent atoms are Na at (0.095, 0.375, 0.375), V at (0.000, 0.000, 0.500), B at (0.038, 0.038, 0.712), S at (0.125, 0.125, 0.125), O at (0.018, 0.114, 0.772) and O at (0.063, 0.063, 0.063).



DFT (GGA-PBEsol) results for an optimized crystal structure of SnHgMo2.

The density comes out at 12.259 g cm⁻³. As for the calculated total energy: -6.55 eV/atom. The density of states at the Fermi level is 12.17 states/eV per cell.

The structure belongs to space group Fm-3m (No. 225); the cell edges are 6.518, 6.518 and 6.518 Å and the angles 90.00°, 90.00° and 90.00°. The inequivalent atoms are Sn at (0.000, 0.000, 0.000), Hg at (0.000, 0.000, 0.500) and Mo at (0.250, 0.250, 0.250).



DFT (GGA-PBEsol) results for an optimized crystal structure of Ti2VTe4.

The density comes out at 6.891 g cm⁻³. The energy above the lowest structure with this stoichiometry comes out at 0.0000 eV per atom. The value obtained for the uncorrected formation energy is -0.617 eV per atom. The density of states at the Fermi level is 9.61 states/eV per cell.

The structure belongs to space group C2/m (No. 12); the cell edges are 14.140, 3.717 and 6.784 Å and the angles 90.00°, 117.36° and 90.00°. The inequivalent atoms are Ti at (0.248, 0.000, 0.203), V at (0.000, 0.500, 0.500), Te at (0.104, 0.500, 0.944) and Te at (0.133, 0.000, 0.463).



DFT (GGA-PBEsol) results for an optimized crystal structure of BaTaBe2.

The density comes out at 7.551 g cm⁻³. The energy above the lowest structure with this stoichiometry comes out at 0.4834 eV per atom. The density of states at the Fermi level is 6.57 states/eV per cell.

The structure belongs to space group Immm (No. 71); the cell edges are 4.702, 4.724 and 6.660 Å and the angles 90.00°, 90.00° and 90.00°. The inequivalent atoms are Ba at (0.000, 0.000, 0.000), Ta at (0.000, 0.000, 0.500) and Be at (0.000, 0.500, 0.248).



DFT (GGA-PBEsol) results for an optimized crystal structure of TaIrAu.

The density comes out at 19.430 g cm⁻³. The energy above the lowest structure with this stoichiometry comes out at 0.0445 eV per atom. The density of states at the Fermi level is 3.98 states/eV per cell.

The structure belongs to space group I4mm (No. 107); the cell edges are 3.370, 3.370 and 8.582 Å and the angles 90.00°, 90.00° and 90.00°. The inequivalent atoms are Ta at (0.000, 0.000, 0.000), Ir at (0.000, 0.000, 0.356) and Au at (0.000, 0.000, 0.678).